# GGA-PBE CaFe2Pt, relaxed
data_CaFe2Pt
_chemical_formula_sum 'Ca1 Fe2 Pt1'
_symmetry_space_group_name_H-M 'P 1'
_symmetry_Int_Tables_number 1
_symmetry_space_group_name_Hall 'P 1'
_cell_length_a 4.2666
_cell_length_b 4.2666
_cell_length_c 5.5920
_cell_angle_alpha 112.31
_cell_angle_beta 112.31
_cell_angle_gamma 60.00
loop_
_atom_site_label
_atom_site_fract_x
_atom_site_fract_y
_atom_site_fract_z
Ca1 0.0000 0.0000 0.0000
Fe1 0.1924 0.1924 0.5782
Fe2 0.4860 0.4860 0.4589
Pt1 0.8063 0.8063 0.4195
# density = 7.27 g cm⁻³
# total magnetic moment = 5.28 μB/cell
# energy of formation from the pure elements = -0.29 eV per formula unit
# symmetry = Cm, No. 8
# E_tot = -6.316 eV/atom